Li2La2NdMg5: relaxed, PBE.

The structure belongs to space group P4/mbm (No. 127); the cell edges are 11.0164, 11.0164 and 4.4377 Å and the angles 90.00°, 90.00° and 90.00°. The distinct sites, in fractional coordinates, are Li at (0.1129, 0.3871, 0.0000), La at (0.1816, 0.6816, 0.0000), Nd at (0.0000, 0.0000, 0.0000), Mg at (0.0000, 0.5000, 0.5000) and Mg at (0.0588, 0.2172, 0.5000).

The formation enthalpy at 0 K is -56 meV/atom. The calculation puts the density of states at the Fermi level at 23.159 states/eV per cell. The magnetic moment comes out at 0.000 μB/atom. Its density is 3.438 g cm⁻³. The value obtained for the total energy is -26.98 eV per formula unit.

***

LiLaNdMg: relaxed, PBE.

The structure belongs to space group F-43m (No. 216); the cell edges are 7.8174, 7.8174 and 7.8174 Å and the angles 90.00°, 90.00° and 90.00°. The distinct sites, in fractional coordinates, are Li at (0.0000, 0.0000, 0.0000), La at (0.2500, 0.2500, 0.7500), Nd at (0.2500, 0.2500, 0.2500) and Mg at (0.0000, 0.0000, 0.5000).

The formation enthalpy at 0 K is 13 meV/atom. The calculation puts the density of states at the Fermi level at 23.020 states/eV per cell. The magnetic moment comes out at 0.000 μB/atom. Its density is 4.371 g cm⁻³. The value obtained for the total energy is -13.15 eV per formula unit.

***

LiLaMgNi: relaxed, PBE.

The structure belongs to space group P4mm (No. 99); the cell edges are 3.3118, 3.3118 and 8.0396 Å and the angles 90.00°, 90.00° and 90.00°. The distinct sites, in fractional coordinates, are Li at (0.0000, 0.0000, 0.0000), La at (0.5000, 0.5000, 0.3534), Mg at (0.5000, 0.5000, 0.7537) and Ni at (0.0000, 0.0000, 0.5751).

The formation enthalpy at 0 K is -84 meV/atom. The calculation puts the density of states at the Fermi level at 2.644 states/eV per cell. The magnetic moment comes out at 0.000 μB/atom. Its density is 4.309 g cm⁻³. The calculation puts the polymorph energy (0 for the lowest one) at 13.4 meV per atom. The value obtained for the total energy is -14.55 eV per formula unit.